# LiAc3Cu2O8 (PBE, optimized geometry)
# Formation energy (no corrections) in eV/atom: -2.012
# M_tot in μB per atom: 0.283
# Calculated total energy in eV per atom: -6.448
# Calculated volume in Å³/cell: 193.5
data_LiAc3Cu2O8
_space_group_name_H-M_alt 'P -3 m 1'
_space_group_IT_number 164
_space_group_name_Hall '-P 3 2"'
_cell_length_a 5.5018
_cell_length_b 5.5018
_cell_length_c 7.3824
_cell_angle_alpha 90.00
_cell_angle_beta 90.00
_cell_angle_gamma 120.00
loop_
_atom_site_label
_atom_site_fract_x
_atom_site_fract_y
_atom_site_fract_z
Li1 0.0000 0.0000 0.0000
Ac1 0.0000 0.0000 0.5000
Ac2 0.3333 0.6667 0.1285
Cu1 0.3333 0.6667 0.6863
O1 0.1639 0.3277 0.8198
O2 0.3333 0.6667 0.4403

# LiAcCuP2 (PBE, optimized geometry)
# M_tot in μB per atom: 0.000
# Calculated formation energy in meV per atom: -806
# Calculated total energy in eV per atom: -4.994
# Calculated volume in Å³/cell: 184.3
data_LiAcCuP2
_space_group_name_H-M_alt 'I -4 m 2'
_space_group_IT_number 119
_space_group_name_Hall 'I -4 -2'
_cell_length_a 4.078
_cell_length_b 4.078
_cell_length_c 11.084
_cell_angle_alpha 90.00
_cell_angle_beta 90.00
_cell_angle_gamma 90.00
loop_
_atom_site_label
_atom_site_fract_x
_atom_site_fract_y
_atom_site_fract_z
Li1 0.000 0.000 0.000
Ac1 0.000 0.500 0.750
Cu1 0.000 0.000 0.500
P1 0.000 0.500 0.119

# Li3Ac2CuPb4 (PBE, optimized geometry)
# M_tot in μB per atom: 0.000
# Calculated formation energy in meV per atom: -400
# Calculated total energy in eV per atom: -3.689
# Calculated volume in Å³/cell: 255.9
data_Li3Ac2CuPb4
_space_group_name_H-M_alt 'P -4 m 2'
_space_group_IT_number 115
_cell_length_a 4.803
_cell_length_b 4.803
_cell_length_c 11.091
_cell_angle_alpha 90.00
_cell_angle_beta 90.00
_cell_angle_gamma 90.00
loop_
_space_group_symop_operation_xyz
'x,y,z'
'y,-x,-z'
'-x,-y,z'
'-y,x,-z'
'-x,y,z'
'-y,-x,-z'
'x,-y,z'
'y,x,-z'
loop_
_atom_site_label
_atom_site_fract_x
_atom_site_fract_y
_atom_site_fract_z
Li1 0.000 0.000 0.000
Li2 0.000 0.500 0.636
Ac1 0.000 0.500 0.235
Cu1 0.500 0.500 0.000
Pb1 0.000 0.000 0.500
Pb2 0.000 0.500 0.878
Pb3 0.500 0.500 0.500

# LiAc2CuPd6 (PBE, optimized geometry)
# M_tot in μB per atom: 0.000
# Calculated formation energy in meV per atom: -557
# Calculated total energy in eV per atom: -5.096
# Calculated volume in Å³/cell: 414.3
data_LiAc2CuPd6
_space_group_name_H-M_alt 'C 1 2/m 1'
_space_group_IT_number 12
_cell_length_a 12.208
_cell_length_b 5.497
_cell_length_c 8.538
_cell_angle_alpha 90.00
_cell_angle_beta 133.69
_cell_angle_gamma 90.00
loop_
_space_group_symop_operation_xyz
'x,y,z'
'-x,-y,-z'
'-x,y,-z'
'x,-y,z'
'x+1/2,y+1/2,z'
'-x+1/2,-y+1/2,-z'
'-x+1/2,y+1/2,-z'
'x+1/2,-y+1/2,z'
loop_
_atom_site_label
_atom_site_fract_x
_atom_site_fract_y
_atom_site_fract_z
Li1 0.000 0.000 0.000
Ac1 0.244 0.000 0.711
Cu1 0.000 0.500 0.500
Pd1 0.008 0.250 0.257
Pd2 0.250 0.000 0.086

# LiAcCuPd (PBE, optimized geometry)
# ΔE to the lowest computed polymorph in meV per atom: 178
# M_tot in μB per atom: 0.000
# Calculated formation energy in meV per atom: -231
# Calculated total energy in eV per atom: -4.059
# Calculated volume in Å³/cell: 363.9
data_LiAcCuPd
_space_group_name_H-M_alt 'F -4 3 m'
_space_group_IT_number 216
_space_group_name_Hall 'F -4 2 3'
_cell_length_a 7.140
_cell_length_b 7.140
_cell_length_c 7.140
_cell_angle_alpha 90.00
_cell_angle_beta 90.00
_cell_angle_gamma 90.00
loop_
_atom_site_label
_atom_site_fract_x
_atom_site_fract_y
_atom_site_fract_z
Li1 0.000 0.000 0.000
Ac1 0.000 0.000 0.500
Cu1 0.250 0.250 0.250
Pd1 0.250 0.250 0.750

# Li2Ac3CuPd6 (PBE, optimized geometry)
# M_tot in μB per atom: 0.000
# Calculated formation energy in meV per atom: -610
# Calculated total energy in eV per atom: -4.893
# Calculated volume in Å³/cell: 264.5
data_Li2Ac3CuPd6
_space_group_name_H-M_alt 'P -3 m 1'
_space_group_IT_number 164
_space_group_name_Hall '-P 3 2"'
_cell_length_a 5.9076
_cell_length_b 5.9076
_cell_length_c 8.7506
_cell_angle_alpha 90.00
_cell_angle_beta 90.00
_cell_angle_gamma 120.00
loop_
_atom_site_label
_atom_site_fract_x
_atom_site_fract_y
_atom_site_fract_z
Li1 0.3333 0.6667 0.0334
Ac1 0.0000 0.0000 0.0000
Ac2 0.3333 0.6667 0.6130
Cu1 0.0000 0.0000 0.5000
Pd1 0.1729 0.3458 0.2777

Q: Which value of M_tot does entry 5 give?
A: 0.000 μB per atom

Q: Which formula does entry 5 have?
A: LiAcCuPd

Repeat the second record exactly.
# LiAcCuP2 (PBE, optimized geometry)
# M_tot in μB per atom: 0.000
# Calculated formation energy in meV per atom: -806
# Calculated total energy in eV per atom: -4.994
# Calculated volume in Å³/cell: 184.3
data_LiAcCuP2
_space_group_name_H-M_alt 'I -4 m 2'
_space_group_IT_number 119
_space_group_name_Hall 'I -4 -2'
_cell_length_a 4.078
_cell_length_b 4.078
_cell_length_c 11.084
_cell_angle_alpha 90.00
_cell_angle_beta 90.00
_cell_angle_gamma 90.00
loop_
_atom_site_label
_atom_site_fract_x
_atom_site_fract_y
_atom_site_fract_z
Li1 0.000 0.000 0.000
Ac1 0.000 0.500 0.750
Cu1 0.000 0.000 0.500
P1 0.000 0.500 0.119

Q: Which value of M_tot does entry 1 give?
A: 0.283 μB per atom